Here is a relaxed structure of TaMnW2 from Alexandria. Energies are from PBE.

Values from the calculation:
The theoretical density comes out at 16.353 g/cm3. The raw total energy is -46.5 eV per cell. The total moment comes out at 0.00 Bohr magnetons per cell. As for the distance to the lowest polymorph of the same formula: 133 meV/atom. As for the energy of formation: 109 meV per atom. The calculation puts the density of states at the Fermi level at 3.42 states/eV/cell.

```
4
Lattice="0.000 3.129 3.129 3.129 0.000 3.129 3.129 3.129 0.000" Properties=species:S:1:pos:R:3 pbc="T T T"
Mn 0.000 0.000 0.000
W 1.565 1.565 1.565
W 4.694 4.694 4.694
Ta 3.129 3.129 3.129
```

=====

Here is a relaxed structure of TaMn2W from Alexandria. Energies are from PBE.

Values from the calculation:
The theoretical density comes out at 13.744 g/cm3. The raw total energy is -42.8 eV per cell. The total moment comes out at 2.08 Bohr magnetons per cell. As for the distance to the lowest polymorph of the same formula: 149 meV/atom. As for the energy of formation: 93 meV per atom. The calculation puts the density of states at the Fermi level at 4.50 states/eV/cell.

```
4
Lattice="-4.042 -2.673 0.877 0.477 -2.992 3.882 0.152 4.739 -1.332" Properties=species:S:1:pos:R:3 pbc="T T T"
Mn -3.550 -5.640 4.738
Mn -1.799 -2.858 2.401
Ta -0.577 -0.543 2.465
W -2.837 -0.383 0.962
```

=====

Here is a relaxed structure of TaMn2W from Alexandria. Energies are from PBE.

Values from the calculation:
The theoretical density comes out at 14.180 g/cm3. The raw total energy is -43.4 eV per cell. The total moment comes out at 0.00 Bohr magnetons per cell. As for the distance to the lowest polymorph of the same formula: 0 meV/atom. As for the energy of formation: -56 meV per atom. The calculation puts the density of states at the Fermi level at 4.96 states/eV/cell.

```
4
Lattice="0.000 3.029 3.029 3.029 0.000 3.029 3.029 3.029 0.000" Properties=species:S:1:pos:R:3 pbc="T T T"
Mn 1.515 1.515 1.515
Mn 4.544 4.544 4.544
W 3.029 3.029 3.029
Ta 0.000 0.000 0.000
```

=====

Here is a relaxed structure of TaMnW from Alexandria. Energies are from PBE.

Values from the calculation:
The theoretical density comes out at 15.171 g/cm3. The raw total energy is -67.6 eV per cell. The total moment comes out at 1.23 Bohr magnetons per cell. As for the distance to the lowest polymorph of the same formula: 65 meV/atom. As for the energy of formation: 64 meV per atom. The calculation puts the density of states at the Fermi level at 6.62 states/eV/cell.

```
6
Lattice="-1.860 -3.352 -3.143 4.833 -0.039 1.100 -2.261 -0.976 4.329" Properties=species:S:1:pos:R:3 pbc="T T T"
Ta 0.392 -2.237 -1.715
Ta 2.581 -1.154 -0.327
W 0.958 -3.519 1.236
W -0.246 -0.848 1.050
Mn -1.317 -3.012 0.082
Mn 2.029 -1.355 2.204
```

=====

Here is a relaxed structure of TaMnW2 from Alexandria. Energies are from PBE.

Values from the calculation:
The theoretical density comes out at 16.155 g/cm3. The raw total energy is -46.7 eV per cell. The total moment comes out at 0.75 Bohr magnetons per cell. As for the distance to the lowest polymorph of the same formula: 90 meV/atom. As for the energy of formation: 65 meV per atom. The calculation puts the density of states at the Fermi level at 2.62 states/eV/cell.

```
4
Lattice="-1.554 -4.156 -0.271 2.391 -0.823 -1.079 2.561 -1.238 4.302" Properties=species:S:1:pos:R:3 pbc="T T T"
Mn 0.461 -2.593 0.670
Ta 2.937 -3.624 2.281
W 0.030 -0.012 0.013
W 2.446 -1.018 1.598
```

=====

Here is a relaxed structure of TaMn2W2 from Alexandria. Energies are from PBE.

Values from the calculation:
The theoretical density comes out at 14.906 g/cm3. The raw total energy is -109.7 eV per cell. The total moment comes out at 0.00 Bohr magnetons per cell. As for the energy of formation: 251 meV per atom. The calculation puts the density of states at the Fermi level at 8.92 states/eV/cell.

```
10
Lattice="7.126 0.000 0.000 0.000 7.126 0.000 0.000 0.000 2.889" Properties=species:S:1:pos:R:3 pbc="T T T"
Mn 2.573 6.136 0.000
Mn 6.136 4.553 0.000
Mn 4.553 0.990 0.000
Mn 0.990 2.573 0.000
W 1.135 4.698 1.445
W 4.698 5.991 1.445
W 5.991 2.428 1.445
W 2.428 1.135 1.445
Ta 0.000 0.000 0.000
Ta 3.563 3.563 0.000
```

=====

Here is a relaxed structure of TaMn2W from Alexandria. Energies are from PBE.

Values from the calculation:
The theoretical density comes out at 13.740 g/cm3. The raw total energy is -42.8 eV per cell. The total moment comes out at 1.95 Bohr magnetons per cell. As for the distance to the lowest polymorph of the same formula: 149 meV/atom. As for the energy of formation: 94 meV per atom. The calculation puts the density of states at the Fermi level at 4.00 states/eV/cell.

```
4
Lattice="-0.910 -2.121 -2.143 -0.741 -2.940 3.224 -3.879 1.336 0.326" Properties=species:S:1:pos:R:3 pbc="T T T"
Mn 0.000 0.000 0.000
Mn -0.826 -2.530 0.540
Ta -2.395 -0.393 -0.908
W -2.310 -0.802 1.775
```

=====

Here is a relaxed structure of YTaMn2 from Alexandria. Energies are from PBE.

Values from the calculation:
The theoretical density comes out at 8.515 g/cm3. The raw total energy is -35.1 eV per cell. The total moment comes out at 4.50 Bohr magnetons per cell. As for the energy of formation: 383 meV per atom. The calculation puts the density of states at the Fermi level at 4.50 states/eV/cell.

```
4
Lattice="-0.769 4.694 -1.536 -3.593 3.214 -1.321 -0.897 2.342 4.333" Properties=species:S:1:pos:R:3 pbc="T T T"
Mn -0.930 2.373 4.119
Mn -3.905 7.604 1.045
Ta -2.627 5.183 1.173
Y -1.324 2.557 0.210
```

=====

Here is a relaxed structure of Y2TaMn2 from Alexandria. Energies are from PBE.

Values from the calculation:
The theoretical density comes out at 7.780 g/cm3. The raw total energy is -84.0 eV per cell. The total moment comes out at 4.19 Bohr magnetons per cell. As for the energy of formation: 226 meV per atom. The calculation puts the density of states at the Fermi level at 11.92 states/eV/cell.

```
10
Lattice="-3.768 -0.942 5.188 3.126 -5.535 1.265 3.121 2.379 2.699" Properties=species:S:1:pos:R:3 pbc="T T T"
Y 3.008 -2.741 3.141
Y 1.564 -3.991 5.913
Y -0.529 -1.356 6.011
Y 0.915 -0.106 3.239
Mn 1.319 -5.230 3.087
Mn -1.380 -4.259 5.351
Mn -1.961 -1.246 3.367
Mn 0.737 -2.217 1.102
Ta 0.000 0.000 0.000
Ta -0.321 -3.238 3.227
```

=====

Here is a relaxed structure of YTa3Mn from Alexandria. Energies are from PBE.

Values from the calculation:
The theoretical density comes out at 9.961 g/cm3. The raw total energy is -36.8 eV per cell. The total moment comes out at 0.24 Bohr magnetons per cell. As for the distance to the lowest polymorph of the same formula: 2325 meV/atom. As for the energy of formation: 2882 meV per atom. The calculation puts the density of states at the Fermi level at 9.61 states/eV/cell.

```
5
Lattice="4.855 0.000 0.000 0.000 4.855 0.000 0.000 0.000 4.855" Properties=species:S:1:pos:R:3 pbc="T T T"
Y 0.000 0.000 0.000
Mn 2.428 2.428 2.428
Ta 0.000 2.428 0.000
Ta 0.000 0.000 2.428
Ta 2.428 0.000 0.000
```

=====

Here is a relaxed structure of YTaMn2 from Alexandria. Energies are from PBE.

Values from the calculation:
The theoretical density comes out at 8.238 g/cm3. The raw total energy is -35.1 eV per cell. The total moment comes out at 4.32 Bohr magnetons per cell. As for the energy of formation: 384 meV per atom. The calculation puts the density of states at the Fermi level at 4.70 states/eV/cell.

```
4
Lattice="4.391 0.059 -0.116 3.289 2.909 -0.116 0.934 0.361 6.057" Properties=species:S:1:pos:R:3 pbc="T T T"
Mn 0.948 0.367 5.635
Mn 4.292 1.659 3.334
Ta 6.460 2.497 4.368
Y 2.153 0.832 1.456
```

=====

Here is a relaxed structure of YTaMn2 from Alexandria. Energies are from PBE.

Values from the calculation:
The theoretical density comes out at 8.419 g/cm3. The raw total energy is -34.8 eV per cell. The total moment comes out at 4.79 Bohr magnetons per cell. As for the energy of formation: 470 meV per atom. The calculation puts the density of states at the Fermi level at 5.13 states/eV/cell.

```
4
Lattice="-1.348 7.552 4.139 -4.353 6.611 3.651 -2.731 5.521 6.167" Properties=species:S:1:pos:R:3 pbc="T T T"
Mn -8.341 19.472 13.807
Mn -4.306 10.053 7.129
Ta -2.108 4.921 3.489
Y -6.323 14.762 10.468
```

=====

Which of these has the lowest raw total energy? TaMn2W2